No. 1
Compound: Pm2PrHg2
Source: Alexandria via LeMat-Bulk
Functional: GGA-PBE
Structure: optimized geometry

abc: 3.8428 5.4964 14.1224
angles: 90.00 97.86 90.00
Space group P2_1/m (No. 11)
Unique sites:
Pm1 0.0479 0.2500 0.0948 x2
Pm2 0.2351 0.2500 0.4719 x2
Pr1 0.1463 0.7500 0.2902 x2
Hg1 0.3563 0.7500 0.7124 x2
Hg2 0.4526 0.2500 0.9061 x2

Results
ΔH_f (0 K) = -1.89 eV per formula unit
DFT total energy = -3.35 eV/atom
calculated volume = 29.5 Å³ per atom
DOS(E_F) = 1.192 states/eV/atom


No. 2
Compound: PmPr6Hg2
Source: Alexandria via LeMat-Bulk
Functional: GGA-PBE
Structure: optimized geometry

abc: 15.8416 11.7445 6.3032
angles: 90.00 95.66 90.00
Space group C2/c (No. 15)
Unique sites:
Pm1 0.0000 0.1039 0.2500 x4
Pr1 0.0586 0.3790 0.5055 x8
Pr2 0.1175 0.1522 0.8104 x8
Pr3 0.2265 0.1243 0.3315 x8
Hg1 0.1652 0.3739 0.0959 x8

Results
ΔH_f (0 K) = -1.29 eV per formula unit
DFT total energy = -3.92 eV/atom
calculated volume = 32.4 Å³ per atom
DOS(E_F) = 1.303 states/eV/atom


No. 3
Compound: Pm2Pr2Hg5
Source: Alexandria via LeMat-Bulk
Functional: GGA-PBE
Structure: optimized geometry

abc: 16.3679 8.5408 7.7013
angles: 90.00 90.00 90.00
Space group Cmce (No. 64)
Unique sites:
Pm1 0.0000 0.1615 0.1455 x8
Pr1 0.1970 0.0000 0.5000 x8
Hg1 0.0000 0.0000 0.5000 x4
Hg2 0.1384 0.1573 0.8593 x16

Results
ΔH_f (0 K) = -3.15 eV per formula unit
DFT total energy = -2.64 eV/atom
calculated volume = 29.9 Å³ per atom
DOS(E_F) = 0.835 states/eV/atom


No. 4
Compound: Pm2PrHg
Source: Alexandria via LeMat-Bulk
Functional: GGA-PBE
Structure: optimized geometry

abc: 3.7423 3.7423 9.0053
angles: 90.00 90.00 90.00
Space group P4/mmm (No. 123)
Unique sites:
Pm1 0.0000 0.0000 0.2181 x2
Pr1 0.5000 0.5000 0.5000 x1
Hg1 0.5000 0.5000 0.0000 x1

Results
ΔH_f (0 K) = -0.94 eV per formula unit
DFT total energy = -3.88 eV/atom
calculated volume = 31.5 Å³ per atom
DOS(E_F) = 1.266 states/eV/atom


No. 5
Compound: PmPr6Hg5
Source: Alexandria via LeMat-Bulk
Functional: GGA-PBE
Structure: optimized geometry

abc: 5.4540 7.8373 16.6223
angles: 90.00 90.00 90.00
Space group Immm (No. 71)
Unique sites:
Pm1 0.0000 0.0000 0.0000 x2
Pr1 0.0000 0.2275 0.5000 x4
Pr2 0.0000 0.2567 0.1729 x8
Hg1 0.0000 0.0000 0.3307 x4
Hg2 0.0000 0.5000 0.0000 x2
Hg3 0.0000 0.5000 0.3496 x4

Results
ΔH_f (0 K) = -4.19 eV per formula unit
DFT total energy = -3.26 eV/atom
calculated volume = 29.6 Å³ per atom
DOS(E_F) = 1.384 states/eV/atom


No. 6
Compound: PmPr2Hg3
Source: Alexandria via LeMat-Bulk
Functional: GGA-PBE
Structure: optimized geometry

abc: 3.8484 3.8484 11.5493
angles: 90.00 90.00 90.00
Space group P4/mmm (No. 123)
Unique sites:
Pm1 0.0000 0.0000 0.0000 x1
Pr1 0.0000 0.0000 0.3317 x2
Hg1 0.5000 0.5000 0.1613 x2
Hg2 0.5000 0.5000 0.5000 x1

Results
ΔH_f (0 K) = -2.84 eV per formula unit
DFT total energy = -3.01 eV/atom
calculated volume = 28.5 Å³ per atom
DOS(E_F) = 1.131 states/eV/atom